Here is a relaxed Cs6RbHgAu2 crystal from Alexandria via LeMat-Bulk. Energies are from PBE.

abc: 7.4313 13.0772 13.0772
angles: 105.13 86.75 86.75
Element x y z (fractional)
1 Cs 0.2869 0.9181 0.7902
2 Cs 0.2131 0.2098 0.0819
3 Cs 0.7131 0.0819 0.2098
4 Cs 0.7869 0.7902 0.9181
5 Cs 0.2726 0.9569 0.3978
6 Cs 0.2274 0.6022 0.0431
7 Cs 0.7274 0.0431 0.6022
8 Cs 0.7726 0.3978 0.9569
9 Cs 0.0046 0.6741 0.5317
10 Cs 0.4954 0.4683 0.3259
11 Cs 0.9954 0.3259 0.4683
12 Cs 0.5046 0.5317 0.6741
13 Rb 0.2500 0.2657 0.7343
14 Rb 0.7500 0.7343 0.2657
15 Hg 0.2500 0.9031 0.0969
16 Hg 0.7500 0.0969 0.9031
17 Au 0.5035 0.7453 0.5228
18 Au 0.9965 0.4772 0.2547
19 Au 0.4965 0.2547 0.4772
20 Au 0.0035 0.5228 0.7453

Energy of formation from the pure elements   -161.3 meV per atom
Uncorrected energy   -1.456 eV/atom

Here is a relaxed Cs8RbHg2Au3 crystal from Alexandria via LeMat-Bulk. Energies are from PBE.

abc: 10.3091 10.3091 12.2766
angles: 65.17 65.17 60.00
Element x y z (fractional)
1 Cs 0.2679 0.2679 0.1962
2 Cs 0.7105 0.7105 0.8685
3 Cs 0.2505 0.2505 0.7756
4 Cs 0.7234 0.2505 0.7756
5 Cs 0.2505 0.7234 0.7756
6 Cs 0.7594 0.2839 0.1973
7 Cs 0.2839 0.7594 0.1973
8 Cs 0.7594 0.7594 0.1973
9 Rb 0.8329 0.8329 0.5012
10 Hg 0.1512 0.1512 0.5463
11 Hg 0.5071 0.5071 0.4787
12 Au 0.4902 0.0154 0.0042
13 Au 0.0154 0.4902 0.0042
14 Au 0.4902 0.4902 0.0042

Energy of formation from the pure elements   -134.8 meV per atom
Uncorrected energy   -1.437 eV/atom

Here is a relaxed Cs2Rb4HgAu2 crystal from Alexandria via LeMat-Bulk. Energies are from PBE.

abc: 6.7715 10.7388 13.3484
angles: 137.90 104.81 89.96
Element x y z (fractional)
1 Cs 0.1378 0.6938 0.2788
2 Cs 0.8622 0.3062 0.7212
3 Rb 0.5237 0.8358 0.0472
4 Rb 0.7841 0.6949 0.5688
5 Rb 0.4763 0.1642 0.9528
6 Rb 0.2159 0.3051 0.4312
7 Hg 0.0000 0.0000 0.0000
8 Au 0.9562 0.1849 0.9131
9 Au 0.0438 0.8151 0.0869

Energy of formation from the pure elements   -156.8 meV per atom
Uncorrected energy   -1.538 eV/atom

Here is a relaxed Cs4RbHgAu crystal from Alexandria via LeMat-Bulk. Energies are from PBE.

abc: 9.0780 8.8447 13.5129
angles: 90.00 117.30 90.00
Element x y z (fractional)
1 Cs 0.9893 0.4974 0.6688
2 Cs 0.0107 0.9974 0.3312
3 Cs 0.0107 0.5026 0.3312
4 Cs 0.9893 0.0026 0.6688
5 Cs 0.4449 0.7500 0.0937
6 Cs 0.5551 0.2500 0.9063
7 Cs 0.4899 0.7500 0.6197
8 Cs 0.5101 0.2500 0.3803
9 Rb 0.9245 0.7500 0.0120
10 Rb 0.0755 0.2500 0.9880
11 Hg 0.6796 0.7500 0.4103
12 Hg 0.3204 0.2500 0.5897
13 Au 0.3160 0.7500 0.3090
14 Au 0.6840 0.2500 0.6910

Energy of formation from the pure elements   -134.0 meV per atom
Uncorrected energy   -1.271 eV/atom

Here is a relaxed Cs2RbHg6Au crystal from Alexandria via LeMat-Bulk. Energies are from PBE.

abc: 10.8271 7.1180 9.1795
angles: 67.47 44.85 91.04
Element x y z (fractional)
1 Cs 0.2009 0.7444 0.5508
2 Cs 0.7991 0.2556 0.4492
3 Rb 0.5000 0.5000 0.0000
4 Hg 0.2677 0.7869 0.9047
5 Hg 0.7868 0.8910 0.9264
6 Hg 0.4188 0.3125 0.4985
7 Hg 0.7323 0.2131 0.0953
8 Hg 0.2132 0.1090 0.0736
9 Hg 0.5812 0.6875 0.5015
10 Au 0.0000 0.0000 0.0000

Energy of formation from the pure elements   -196.7 meV per atom
Uncorrected energy   -0.973 eV/atom

Here is a relaxed Cs2Rb5Hg2Au crystal from Alexandria via LeMat-Bulk. Energies are from PBE.

abc: 4.8268 15.5608 15.5608
angles: 90.00 90.00 90.00
Element x y z (fractional)
1 Cs 0.0000 0.6797 0.1797
2 Cs 0.0000 0.3203 0.8203
3 Cs 0.0000 0.1797 0.3203
4 Cs 0.0000 0.8203 0.6797
5 Rb 0.5000 0.1813 0.0553
6 Rb 0.5000 0.8187 0.9447
7 Rb 0.5000 0.0553 0.8187
8 Rb 0.5000 0.6813 0.4447
9 Rb 0.5000 0.9447 0.1813
10 Rb 0.5000 0.3187 0.5553
11 Rb 0.5000 0.5553 0.6813
12 Rb 0.5000 0.4447 0.3187
13 Rb 0.5000 0.5000 0.0000
14 Rb 0.5000 0.0000 0.5000
15 Hg 0.0000 0.1352 0.6352
16 Hg 0.0000 0.8648 0.3648
17 Hg 0.0000 0.6352 0.8648
18 Hg 0.0000 0.3648 0.1352
19 Au 0.0000 0.0000 0.0000
20 Au 0.0000 0.5000 0.5000

Energy of formation from the pure elements   -117.9 meV per atom
Uncorrected energy   -1.161 eV/atom

Here is a relaxed Cs2RbHg7Au2 crystal from Alexandria via LeMat-Bulk. Energies are from PBE.

abc: 5.0347 5.0347 17.0758
angles: 84.35 84.35 89.62
Element x y z (fractional)
1 Cs 0.8875 0.8875 0.3413
2 Cs 0.1125 0.1125 0.6587
3 Rb 0.0000 0.0000 0.0000
4 Hg 0.5000 0.5000 0.0000
5 Hg 0.3423 0.3423 0.4414
6 Hg 0.6577 0.6577 0.5586
7 Hg 0.9483 0.4480 0.1631
8 Hg 0.4480 0.9483 0.1631
9 Hg 0.5520 0.0517 0.8369
10 Hg 0.0517 0.5520 0.8369
11 Au 0.5854 0.5854 0.7339
12 Au 0.4146 0.4146 0.2661

Energy of formation from the pure elements   -215.1 meV per atom
Uncorrected energy   -1.160 eV/atom

Here is a relaxed Cs8RbHgAu2 crystal from Alexandria via LeMat-Bulk. Energies are from PBE.

abc: 12.8149 12.8149 7.3827
angles: 90.00 90.00 120.00
Element x y z (fractional)
1 Cs 0.8236 0.1764 0.2035
2 Cs 0.8236 0.6472 0.2035
3 Cs 0.3528 0.1764 0.2035
4 Cs 0.6472 0.8236 0.7965
5 Cs 0.3333 0.6667 0.2929
6 Cs 0.6667 0.3333 0.7071
7 Cs 0.1764 0.8236 0.7965
8 Cs 0.1764 0.3528 0.7965
9 Rb 0.0000 0.0000 0.5000
10 Hg 0.0000 0.0000 0.0000
11 Au 0.6667 0.3333 0.2118
12 Au 0.3333 0.6667 0.7882

Energy of formation from the pure elements   -103.0 meV per atom
Uncorrected energy   -1.324 eV/atom

Here is a relaxed Cs2RbHg2Au2 crystal from Alexandria via LeMat-Bulk. Energies are from PBE.

abc: 5.1117 5.1117 14.2754
angles: 79.69 79.69 60.00
Element x y z (fractional)
1 Cs 0.1105 0.1105 0.6685
2 Cs 0.8895 0.8895 0.3315
3 Rb 0.0000 0.0000 0.0000
4 Hg 0.7201 0.7201 0.8396
5 Hg 0.2799 0.2799 0.1604
6 Au 0.6100 0.6100 0.1699
7 Au 0.3900 0.3900 0.8301

Energy of formation from the pure elements   -273.8 meV per atom
Uncorrected energy   -1.678 eV/atom

Here is a relaxed CsRb8Hg2Au crystal from Alexandria via LeMat-Bulk. Energies are from PBE.

abc: 9.8114 8.8460 9.3567
angles: 77.66 87.09 85.89
Element x y z (fractional)
1 Cs 0.0000 0.0000 0.5000
2 Rb 0.0726 0.6173 0.2535
3 Rb 0.7082 0.8225 0.9336
4 Rb 0.7456 0.2385 0.1558
5 Rb 0.9274 0.3827 0.7465
6 Rb 0.2918 0.1775 0.0664
7 Rb 0.2544 0.7615 0.8442
8 Rb 0.5613 0.7362 0.4399
9 Rb 0.4387 0.2638 0.5601
10 Hg 0.5439 0.4752 0.8481
11 Hg 0.4561 0.5248 0.1519
12 Au 0.0000 0.0000 0.0000

Energy of formation from the pure elements   -110.2 meV per atom
Uncorrected energy   -1.150 eV/atom

Here is a relaxed Cs2Rb4HgAu crystal from Alexandria via LeMat-Bulk. Energies are from PBE.

abc: 12.1957 12.0766 9.3698
angles: 129.78 130.11 90.50
Element x y z (fractional)
1 Cs 0.4855 0.9856 0.9723
2 Cs 0.2364 0.2343 0.4697
3 Rb 0.7003 0.6081 0.6899
4 Rb 0.8634 0.4848 0.2576
5 Rb 0.3931 0.7711 0.2564
6 Rb 0.9900 0.0832 0.6904
7 Hg 0.9851 0.4867 0.9718
8 Au 0.7332 0.7334 0.4660

Energy of formation from the pure elements   -98.4 meV per atom
Uncorrected energy   -1.243 eV/atom

Here is a relaxed CsHg2RhAu crystal from Alexandria via LeMat-Bulk. Energies are from PBE.

abc: 5.3257 5.3257 5.3774
angles: 90.00 90.00 90.00
Element x y z (fractional)
1 Cs 0.5000 0.5000 0.5000
2 Rh 0.0000 0.0000 0.0000
3 Au 0.0000 0.0000 0.5000
4 Hg 0.0000 0.5000 0.0000
5 Hg 0.5000 0.0000 0.0000

Energy of formation from the pure elements   -63.0 meV per atom
Uncorrected energy   -2.480 eV/atom

Here is a relaxed CsHg2AuS crystal from Alexandria via LeMat-Bulk. Energies are from PBE.

abc: 5.5386 5.5386 5.2405
angles: 90.00 90.00 90.00
Element x y z (fractional)
1 Cs 0.5000 0.5000 0.5000
2 S 0.0000 0.0000 0.5000
3 Au 0.0000 0.0000 0.0000
4 Hg 0.0000 0.5000 0.0000
5 Hg 0.5000 0.0000 0.0000

Uncorrected energy   -2.012 eV/atom
ΔE_f (raw)   -0.2396 eV per atom

Here is a relaxed Cs2HgAuS crystal from Alexandria via LeMat-Bulk. Energies are from PBE.

abc: 5.1864 7.9165 11.0550
angles: 107.23 90.00 90.00
Element x y z (fractional)
1 Cs 0.7500 0.8377 0.6251
2 Cs 0.7500 0.7630 0.0195
3 Cs 0.2500 0.1623 0.3749
4 Cs 0.2500 0.2370 0.9805
5 Hg 0.2500 0.4670 0.7213
6 Hg 0.7500 0.5330 0.2787
7 Au 0.2500 0.6584 0.3124
8 Au 0.7500 0.3416 0.6876
9 S 0.2500 0.7997 0.8218
10 S 0.7500 0.2003 0.1782

Uncorrected energy   -2.431 eV/atom
ΔE_f (raw)   -0.5485 eV per atom
Energy relative to the lowest polymorph listed for this composition   0.000 eV/atom

Here is a relaxed Cs2HgAuS crystal from Alexandria via LeMat-Bulk. Energies are from PBE.

abc: 6.8391 6.8391 4.8328
angles: 90.00 90.00 90.00
Element x y z (fractional)
1 Cs 0.0000 0.5000 0.0000
2 Cs 0.5000 0.0000 0.0000
3 S 0.0000 0.0000 0.0000
4 Au 0.0000 0.0000 0.5000
5 Hg 0.5000 0.5000 0.5000

Uncorrected energy   -2.343 eV/atom
ΔE_f (raw)   -0.4605 eV per atom
Energy relative to the lowest polymorph listed for this composition   0.088 eV/atom

Here is a relaxed CsHgSbAu2 crystal from Alexandria via LeMat-Bulk. Energies are from PBE.

abc: 5.1375 5.1375 7.0949
angles: 111.23 111.23 90.00
Element x y z (fractional)
1 Cs 0.5009 0.5009 0.0018
2 Hg 0.8641 0.8641 0.7281
3 Sb 0.1598 0.1598 0.3196
4 Au 0.7376 0.2376 0.4752
5 Au 0.2376 0.7376 0.4752

Uncorrected energy   -2.635 eV/atom
ΔE_f (raw)   -0.2682 eV per atom
Energy relative to the lowest polymorph listed for this composition   0.000 eV/atom

Here is a relaxed CsHg2SbAu crystal from Alexandria via LeMat-Bulk. Energies are from PBE.

abc: 5.5981 5.5981 5.6202
angles: 90.00 90.00 90.00
Element x y z (fractional)
1 Cs 0.5000 0.5000 0.5000
2 Sb 0.0000 0.0000 0.5000
3 Au 0.0000 0.0000 0.0000
4 Hg 0.0000 0.5000 0.0000
5 Hg 0.5000 0.0000 0.0000

Uncorrected energy   -1.842 eV/atom
ΔE_f (raw)   -0.0708 eV per atom
Energy relative to the lowest polymorph listed for this composition   0.054 eV/atom

Here is a relaxed Cs4Hg2Sb2Au crystal from Alexandria via LeMat-Bulk. Energies are from PBE.

abc: 6.3849 8.4128 8.4128
angles: 71.49 91.63 91.63
Element x y z (fractional)
1 Cs 0.1979 0.6304 0.1334
2 Cs 0.8021 0.8666 0.3696
3 Cs 0.8021 0.3696 0.8666
4 Cs 0.1979 0.1334 0.6304
5 Hg 0.3331 0.6624 0.6624
6 Hg 0.6669 0.3376 0.3376
7 Sb 0.3047 0.1670 0.1670
8 Sb 0.6953 0.8330 0.8330
9 Au 0.5000 0.0000 0.0000

Uncorrected energy   -2.074 eV/atom
ΔE_f (raw)   -0.3472 eV per atom

Here is a relaxed CsHg2SbAu crystal from Alexandria via LeMat-Bulk. Energies are from PBE.

abc: 5.9159 5.9159 5.4018
angles: 90.00 90.00 90.00
Element x y z (fractional)
1 Cs 0.5000 0.5000 0.5000
2 Sb 0.0000 0.0000 0.0000
3 Au 0.0000 0.0000 0.5000
4 Hg 0.0000 0.5000 0.0000
5 Hg 0.5000 0.0000 0.0000

Uncorrected energy   -1.896 eV/atom
ΔE_f (raw)   -0.1250 eV per atom
Energy relative to the lowest polymorph listed for this composition   0.000 eV/atom

Here is a relaxed CsHgSbAu2 crystal from Alexandria via LeMat-Bulk. Energies are from PBE.

abc: 5.4190 6.0470 5.4190
angles: 90.00 90.00 90.00
Element x y z (fractional)
1 Cs 0.5000 0.5000 0.5000
2 Sb 0.0000 0.0000 0.0000
3 Au 0.0000 0.0000 0.5000
4 Au 0.5000 0.0000 0.0000
5 Hg 0.0000 0.5000 0.0000

Uncorrected energy   -2.499 eV/atom
ΔE_f (raw)   -0.1328 eV per atom
Energy relative to the lowest polymorph listed for this composition   0.135 eV/atom

Here is a relaxed Cs2HgAuSe crystal from Alexandria via LeMat-Bulk. Energies are from PBE.

abc: 5.2947 7.1310 11.2486
angles: 96.63 90.00 90.00
Element x y z (fractional)
1 Cs 0.7500 0.8819 0.6524
2 Cs 0.7500 0.7447 0.0559
3 Cs 0.2500 0.1181 0.3476
4 Cs 0.2500 0.2553 0.9441
5 Hg 0.2500 0.4710 0.6497
6 Hg 0.7500 0.5290 0.3503
7 Au 0.2500 0.6269 0.4143
8 Au 0.7500 0.3731 0.5857
9 Se 0.2500 0.7430 0.8420
10 Se 0.7500 0.2570 0.1580

Uncorrected energy   -2.337 eV/atom
ΔE_f (raw)   -0.5830 eV per atom

Here is a relaxed Cs2SnHg12Au3 crystal from Alexandria via LeMat-Bulk. Energies are from PBE.

abc: 10.8002 10.8002 10.8002
angles: 51.50 51.50 51.50
Element x y z (fractional)
1 Cs 0.6328 0.6328 0.6328
2 Cs 0.3672 0.3672 0.3672
3 Sn 0.0000 0.0000 0.0000
4 Hg 0.3466 0.3466 0.9677
5 Hg 0.9229 0.9229 0.3474
6 Hg 0.3474 0.9229 0.9229
7 Hg 0.9677 0.3466 0.3466
8 Hg 0.9229 0.3474 0.9229
9 Hg 0.3466 0.9677 0.3466
10 Hg 0.6534 0.6534 0.0323
11 Hg 0.0771 0.0771 0.6526
12 Hg 0.6526 0.0771 0.0771
13 Hg 0.0323 0.6534 0.6534
14 Hg 0.0771 0.6526 0.0771
15 Hg 0.6534 0.0323 0.6534
16 Au 0.5000 0.0000 0.0000
17 Au 0.0000 0.5000 0.0000
18 Au 0.0000 0.0000 0.5000

Energy of formation from the pure elements   -41.7 meV per atom
Uncorrected energy   -1.106 eV/atom